(P)
{
  "formula": "DySnBi",
  "functional": "PBE",
  "state": "relaxed",
  "spacegroup": "F-43m, No. 216",
  "crystal_system": "cubic",
  "lattice_angstrom": [[0.000, 3.690, 3.690], [3.690, 0.000, 3.690], [3.690, 3.690, 0.000]],
  "species": ["Dy", "Sn", "Bi"],
  "fractional_positions": [[0.000, 0.000, 0.000], [0.750, 0.750, 0.750], [0.250, 0.250, 0.250]]
}

(Q)
{
  "formula": "DySnBi",
  "functional": "PBE",
  "state": "relaxed",
  "spacegroup": "F-43m, No. 216",
  "crystal_system": "cubic",
  "lattice_angstrom": [[-3.726, -2.540, 2.639], [-1.937, 2.042, 4.402], [-4.878, 1.871, 0.087]],
  "species": ["Bi", "Sn", "Dy"],
  "fractional_positions": [[0.250, 0.250, 0.250], [0.000, 0.000, 0.000], [0.750, 0.750, 0.750]]
}

Most stable: (P) (next structure +76 meV/atom)